Ca2CeHfP4 | Alexandria | PBE | relaxed; energy relative to the elements = -1271 meV per atom
1.0
6.8938 0.0000 0.0000
0.0000 3.9833 0.0000
-2.2792 0.0000 6.6209
Ca Ce Hf P
2 1 1 4
Cartesian
0.0000 0.0000 0.0000
3.4469 1.9916 0.0000
-1.1396 1.9916 3.3105
2.3073 0.0000 3.3105
0.1100 0.0000 4.8226
1.2323 1.9916 1.8313
3.3823 1.9916 4.7896
4.5046 0.0000 1.7983

CaCe2HfP4 | Alexandria | PBE | relaxed; energy relative to the elements = -1308 meV per atom
1.0
5.6316 0.0000 0.0000
0.0000 5.6316 0.0000
0.0000 0.0000 11.2487
Ca Ce Hf P
2 4 2 8
Cartesian
0.0000 0.0000 0.0000
2.8158 2.8158 5.6244
0.0000 0.0000 5.6244
0.0000 2.8158 2.8122
2.8158 0.0000 8.4365
2.8158 2.8158 0.0000
0.0000 2.8158 8.4365
2.8158 0.0000 2.8122
0.0000 0.0000 2.8404
0.0000 0.0000 8.4083
0.0000 2.8158 5.7559
0.0000 2.8158 11.1172
2.8158 0.0000 0.1315
2.8158 0.0000 5.4928
2.8158 2.8158 2.7840
2.8158 2.8158 8.4647

Ca2CeHfSb4 | Alexandria | PBE | relaxed; formation energy without anion corrections = -0.842 eV/atom
1.0
7.5719 0.0000 0.0000
0.0000 4.3757 0.0000
-2.5121 0.0000 7.3118
Ca Ce Hf Sb
2 1 1 4
Cartesian
0.0000 0.0000 0.0000
3.7860 2.1879 0.0000
-1.2561 2.1879 3.6559
2.5299 0.0000 3.6559
0.1150 0.0000 5.3659
1.3603 2.1879 1.9979
3.6995 2.1879 5.3139
4.9447 0.0000 1.9459

What did the first record say?
Ca2CeHfP4 | Alexandria | PBE | relaxed; energy relative to the elements = -1271 meV per atom
1.0
6.8938 0.0000 0.0000
0.0000 3.9833 0.0000
-2.2792 0.0000 6.6209
Ca Ce Hf P
2 1 1 4
Cartesian
0.0000 0.0000 0.0000
3.4469 1.9916 0.0000
-1.1396 1.9916 3.3105
2.3073 0.0000 3.3105
0.1100 0.0000 4.8226
1.2323 1.9916 1.8313
3.3823 1.9916 4.7896
4.5046 0.0000 1.7983